Computed, not measured: a relaxed structure of Li2PmAg4 at the GGA-PBE level of DFT.

POSCAR file:
```
Li2PmAg4
1.0
4.454 -3.608 0.000
4.454 3.608 0.000
-3.104 0.000 4.281
Li Pm Ag
2 1 4
Cartesian
8.130 0.000 1.068 Li
-2.326 0.000 3.214 Li
4.454 0.000 0.000 Pm
1.766 1.414 1.300 Ag
1.766 -1.414 1.300 Ag
4.039 1.414 2.982 Ag
4.039 -1.414 2.982 Ag
```

## Properties
ΔE to the lowest computed polymorph = 0.00 eV per formula unit
formation energy = -1.7 eV per formula unit
density = 7.1 g/cm³
raw total energy = -3.10 eV/atom